# ZnCr2Cl PBE-GGA relaxed
data_ZnCr2Cl
_space_group_name_H-M_alt 'P 4 m m'
_space_group_IT_number 99
_cell_length_a 3.0910
_cell_length_b 3.0910
_cell_length_c 7.4726
_cell_angle_alpha 90.00
_cell_angle_beta 90.00
_cell_angle_gamma 90.00
loop_
_space_group_symop_operation_xyz
'x,y,z'
'-y,x,z'
'-x,-y,z'
'y,-x,z'
'-x,y,z'
'y,x,z'
'x,-y,z'
'-y,-x,z'
loop_
_atom_site_label
_atom_site_fract_x
_atom_site_fract_y
_atom_site_fract_z
Zn1 0.0000 0.0000 0.0000
Cr1 0.0000 0.0000 0.6291
Cr2 0.5000 0.5000 0.7968
Cl1 0.5000 0.5000 0.4270
# Energy relative to the lowest polymorph listed for this composition (meV per atom): 10.5
# Formation energy (no corrections) (eV per formula unit): 0.5


# Ba2CdAg3Sb4 PBE-GGA relaxed
data_Ba2CdAg3Sb4
_space_group_name_H-M_alt 'P -4 m 2'
_space_group_IT_number 115
_cell_length_a 4.9098
_cell_length_b 4.9098
_cell_length_c 11.8599
_cell_angle_alpha 90.00
_cell_angle_beta 90.00
_cell_angle_gamma 90.00
loop_
_space_group_symop_operation_xyz
'x,y,z'
'y,-x,-z'
'-x,-y,z'
'-y,x,-z'
'-x,y,z'
'-y,-x,-z'
'x,-y,z'
'y,x,-z'
loop_
_atom_site_label
_atom_site_fract_x
_atom_site_fract_y
_atom_site_fract_z
Ba1 0.0000 0.5000 0.2454
Cd1 0.0000 0.0000 0.5000
Ag1 0.0000 0.5000 0.8713
Ag2 0.5000 0.5000 0.5000
Sb1 0.0000 0.0000 0.0000
Sb2 0.0000 0.5000 0.6384
Sb3 0.5000 0.5000 0.0000
# Formation energy (no corrections) (eV per formula unit): -5.1


# PuCuI5 PBE-GGA relaxed
data_PuCuI5
_space_group_name_H-M_alt 'C 1 2/c 1'
_space_group_IT_number 15
_cell_length_a 11.6354
_cell_length_b 10.9030
_cell_length_c 11.3591
_cell_angle_alpha 90.00
_cell_angle_beta 118.55
_cell_angle_gamma 90.00
loop_
_space_group_symop_operation_xyz
'x,y,z'
'-x,-y,-z'
'-x,y,-z+1/2'
'x,-y,z+1/2'
'x+1/2,y+1/2,z'
'-x+1/2,-y+1/2,-z'
'-x+1/2,y+1/2,-z+1/2'
'x+1/2,-y+1/2,z+1/2'
loop_
_atom_site_label
_atom_site_fract_x
_atom_site_fract_y
_atom_site_fract_z
Pu1 0.2500 0.2500 0.0000
Cu1 0.0000 0.1369 0.2500
I1 0.0000 0.3328 0.7500
I2 0.1201 0.2939 0.1709
I3 0.1620 0.0131 0.4583
# Formation energy (no corrections) (eV per formula unit): -4.4


# AcTb2Dy6 PBE-GGA relaxed
data_AcTb2Dy6
_space_group_name_H-M_alt 'R 3 m'
_space_group_IT_number 160
_space_group_name_Hall 'R 3 -2"'
_cell_length_a 6.8728
_cell_length_b 6.8728
_cell_length_c 25.1837
_cell_angle_alpha 90.00
_cell_angle_beta 90.00
_cell_angle_gamma 120.00
loop_
_atom_site_label
_atom_site_fract_x
_atom_site_fract_y
_atom_site_fract_z
Ac1 0.0000 0.0000 0.0000
Tb1 0.0000 0.0000 0.5831
Tb2 0.0000 0.0000 0.7589
Dy1 0.0090 0.5045 0.5512
Dy2 0.1689 0.3378 0.1162
# Formation enthalpy at 0 K (eV/atom): 0.389
# Energy relative to the lowest polymorph listed for this composition (meV per atom): 309.0